No. 1
The following is a PBE-GGA calculation of AcH8Pt2Rh after structural relaxation, from Alexandria.

Lattice parameters (Å, degrees): 7.325 4.734 7.179 90.00 91.08 90.00
Space group C2/m (No. 12)
Asymmetric unit:
Ac (0.000, 0.000, 0.000) [2 per cell]
H (0.011, 0.263, 0.675) [8 per cell]
H (0.134, 0.500, 0.058) [4 per cell]
H (0.242, 0.000, 0.486) [4 per cell]
Pt (0.181, 0.500, 0.288) [4 per cell]
Rh (0.000, 0.000, 0.500) [2 per cell]

Properties
Raw total energy = -4.420 eV/atom
Total moment = 0.0 μB per formula unit

=====

No. 2
The following is a PBE-GGA calculation of Mg2GaHgAu after structural relaxation, from Alexandria.

Lattice parameters (Å, degrees): 5.629 4.551 8.165 90.00 104.67 90.00
Space group P2_1/m (No. 11)
Asymmetric unit:
Mg (0.082, 0.250, 0.369) [2 per cell]
Mg (0.406, 0.250, 0.093) [2 per cell]
Ga (0.345, 0.250, 0.726) [2 per cell]
Hg (0.095, 0.750, 0.137) [2 per cell]
Au (0.368, 0.750, 0.557) [2 per cell]

Properties
Raw total energy = -2.220 eV/atom
Energy of formation from the pure elements = -0.261 eV/atom
Total moment = 0.0 μB per formula unit